1.
Density functional theory data (PBE) for a relaxed structure of CsAgAs.

Cell lengths 5.2452, 5.2452, 5.2452 Å; angles 60.00, 60.00, 60.00 degrees
Last column: nearest neighbours and their distance in Å.
Atoms (fractional coordinates):
Cs: 0.7500 0.7500 0.7500  4 Ag 3.21
As: 0.2500 0.2500 0.2500  4 Ag 3.21
Ag: 0.0000 0.0000 0.0000  4 Cs 3.21, 4 As 3.21

Offset from the most stable computed form: 0 meV per atom
Calculated total energy: -2.385 eV per atom
Space group: F-43m

=====

2.
Density functional theory data (PBE) for a relaxed structure of Cs4CuAgAs2.

Cell lengths 6.8800, 6.8800, 6.6389 Å; angles 90.64, 90.64, 109.77 degrees
Last column: nearest neighbours and their distance in Å.
Atoms (fractional coordinates):
As: 0.2292 0.2292 0.7330  1 Cu 2.36, 1 Ag 2.56
As: 0.7708 0.7708 0.2670  1 Cu 2.36, 1 Ag 2.56
Cs: 0.1776 0.5152 0.2517  1 Ag 3.71, 1 Cu 3.74, 4 As 3.78-4.03, 4 Cs 3.80-4.09
Cs: 0.8224 0.4848 0.7483  1 Ag 3.71, 1 Cu 3.74, 4 As 3.78-4.03, 4 Cs 3.80-4.09
Cs: 0.5152 0.1776 0.2517  1 Ag 3.71, 1 Cu 3.74, 4 As 3.78-4.03, 4 Cs 3.80-4.09
Cs: 0.4848 0.8224 0.7483  1 Ag 3.71, 1 Cu 3.74, 4 As 3.78-4.03, 4 Cs 3.80-4.09
Ag: 0.0000 0.0000 0.0000  2 As 2.56
Cu: 0.0000 0.0000 0.5000  2 As 2.36

Offset from the most stable computed form: 0 meV per atom
Calculated total energy: -2.744 eV per atom
Space group: C2/m

=====

3.
Density functional theory data (PBE) for a relaxed structure of Cs3Ag2As4HO14.

Cell lengths 5.8215, 6.0342, 13.2992 Å; angles 91.88, 100.71, 117.62 degrees
Last column: nearest neighbours and their distance in Å.
Atoms (fractional coordinates):
O: 0.7753 0.8932 0.6931  1 As 1.71
O: 0.6258 0.3916 0.4873  1 H 1.21
O: 0.7387 0.6097 0.8762  1 As 1.72
O: 0.2762 0.8604 0.6713  1 As 1.69
O: 0.2613 0.3903 0.1238  1 As 1.72
O: 0.7238 0.1396 0.3287  1 As 1.69
O: 0.2735 0.1549 0.8730  1 As 1.67
O: 0.3295 0.4152 0.6957  2 As 1.80-1.81
O: 0.3742 0.6084 0.5127  1 H 1.21
O: 0.7440 0.3836 0.1273  1 As 1.72
O: 0.2247 0.1068 0.3069  1 As 1.71
O: 0.6705 0.5848 0.3043  2 As 1.80-1.81
O: 0.2560 0.6164 0.8727  1 As 1.72
O: 0.7265 0.8451 0.1270  1 As 1.67
Cs: 0.0000 0.0000 0.5000  8 O 2.92-3.26, 2 H 3.07
Cs: 0.7872 0.1343 0.9304  9 O 3.01-3.17
Cs: 0.2128 0.8657 0.0696  9 O 3.01-3.17
Ag: 0.0021 0.7258 0.7712  4 O 2.15-2.16
Ag: 0.9979 0.2742 0.2288  4 O 2.15-2.16
H: 0.5000 0.5000 0.5000  2 O 1.21
As: 0.4428 0.7087 0.6422  4 O 1.69-1.80
As: 0.3975 0.4417 0.8357  4 O 1.67-1.81
As: 0.5572 0.2913 0.3578  4 O 1.69-1.80
As: 0.6025 0.5583 0.1643  4 O 1.67-1.81

Calculated total energy: -5.329 eV per atom
Space group: P-1

=====

The lowest calculated total energy belongs to which entry? Cs3Ag2As4HO14